Material: HfBiPb
Method: DFT, PBE
State: relaxed

a = 3.2694 Å, b = 3.2694 Å, c = 16.1788 Å
α = 90.00°, β = 90.00°, γ = 90.00°
Positions (direct):
Hf: 0.0000 0.0000 0.0000
Hf: 0.5000 0.5000 0.5000
Bi: 0.0000 0.0000 0.6410
Bi: 0.5000 0.5000 0.1410
Pb: 0.0000 0.0000 0.3579
Pb: 0.5000 0.5000 0.8579

Calculated values
formation enthalpy at 0 K	24	meV/atom
M_tot	0.000	μB per atom
space group	I4mm, No. 107
offset from the most stable computed form	2.83	kJ/mol of atoms